A relaxed Al2TcIr crystal, computed with GGA-PBEsol.

Properties
DFT formation energy (eV/atom): -0.62
Density (Mg/m³): 10.564
Volume (Å³ per cell): 54
Offset from the most stable computed form (meV/atom): 0

abc: 2.9110 4.3110 4.3110
angles: 90.00 90.00 90.00
Fractional coordinates of all 4 atoms:
Ir: 0.5000 0.5000 0.5000
Al: 0.0000 0.5000 0.0000
Al: 0.0000 0.0000 0.5000
Tc: 0.5000 0.0000 0.0000

A relaxed Al2TcIr crystal, computed with GGA-PBEsol.

Properties
DFT formation energy (eV/atom): -0.30
Density (Mg/m³): 10.092
Volume (Å³ per cell): 57
Offset from the most stable computed form (meV/atom): 316

abc: 2.9093 4.1029 4.7444
angles: 90.00 90.00 90.00
Fractional coordinates of all 4 atoms:
Al: 0.5000 0.0000 0.5000
Al: 0.0000 0.0000 0.0000
Tc: 0.0000 0.5000 0.5000
Ir: 0.5000 0.5000 0.0000

A relaxed Al2TcIr crystal, computed with GGA-PBEsol.

Properties
DFT formation energy (eV/atom): -0.61
Density (Mg/m³): 10.585
Volume (Å³ per cell): 54
Offset from the most stable computed form (meV/atom): 6

abc: 4.2425 4.2425 4.2425
angles: 60.00 60.00 60.00
Fractional coordinates of all 4 atoms:
Al: 0.2500 0.2500 0.2500
Al: 0.7500 0.7500 0.7500
Tc: 0.5000 0.5000 0.5000
Ir: 0.0000 0.0000 0.0000

A relaxed Al2TcIr crystal, computed with GGA-PBEsol.

Properties
DFT formation energy (eV/atom): 0.21
Density (Mg/m³): 9.286
Volume (Å³ per cell): 123
Offset from the most stable computed form (meV/atom): 828

abc: 5.4821 5.4821 5.4821
angles: 104.15 104.15 120.73
Each line ends with the local moment (μB).
Fractional coordinates of all 8 atoms:
Ir: 0.0000 0.0000 0.0000  0.14
Ir: 0.2500 0.7500 0.5000  0.14
Al: 0.8893 0.8750 0.5143  -0.01
Al: 0.3607 0.3750 0.4857  -0.01
Al: 0.1250 0.6393 0.0143  -0.01
Al: 0.6250 0.1107 0.9857  -0.01
Tc: 0.5000 0.5000 0.0000  0.61
Tc: 0.7500 0.2500 0.5000  0.61

A relaxed AlTeIr2 crystal, computed with GGA-PBEsol.

Properties
Density (Mg/m³): 12.685
Volume (Å³ per cell): 141
ΔE_f (raw) (kcal/mol of atoms): 1.29
Offset from the most stable computed form (meV/atom): 80

abc: 4.1258 4.1258 8.7890
angles: 103.57 103.57 90.00
Fractional coordinates of all 8 atoms:
Ir: 0.3847 0.8750 0.2500
Ir: 0.1250 0.1347 0.7500
Ir: 0.6250 0.6153 0.7500
Ir: 0.8653 0.3750 0.2500
Al: 0.7500 0.2500 0.5000
Al: 0.5000 0.5000 0.0000
Te: 0.2500 0.7500 0.5000
Te: 0.0000 0.0000 0.0000

A relaxed AlTeIr2 crystal, computed with GGA-PBEsol.

Properties
Density (Mg/m³): 13.867
Volume (Å³ per cell): 65
ΔE_f (raw) (kcal/mol of atoms): -0.55
Offset from the most stable computed form (meV/atom): 0

abc: 2.9805 2.9805 8.5648
angles: 79.98 79.98 60.00
Fractional coordinates of all 4 atoms:
Al: 0.0000 0.0000 0.0000
Te: 0.5000 0.5000 0.5000
Ir: 0.7432 0.7432 0.7705
Ir: 0.2568 0.2568 0.2295

A relaxed AlTeIr4 crystal, computed with GGA-PBEsol.

Properties
Density (Mg/m³): 15.348
Volume (Å³ per cell): 100
ΔE_f (raw) (kcal/mol of atoms): 10.48

abc: 5.2085 5.2085 5.2085
angles: 60.00 60.00 60.00
Fractional coordinates of all 6 atoms:
Ir: 0.3748 0.8757 0.3748
Ir: 0.8757 0.3748 0.3748
Ir: 0.3748 0.3748 0.8757
Ir: 0.3748 0.3748 0.3748
Te: 0.7500 0.7500 0.7500
Al: 0.0000 0.0000 0.0000

A relaxed AlTeIr2 crystal, computed with GGA-PBEsol.

Properties
Density (Mg/m³): 13.952
Volume (Å³ per cell): 64
ΔE_f (raw) (kcal/mol of atoms): 0.38
Offset from the most stable computed form (meV/atom): 40

abc: 3.0281 4.6487 4.6487
angles: 101.37 90.00 90.00
Fractional coordinates of all 4 atoms:
Al: 0.5000 0.5000 0.5000
Ir: 0.0000 0.0000 0.5000
Ir: 0.0000 0.5000 0.0000
Te: 0.5000 0.0000 0.0000

A relaxed AlTeIr2 crystal, computed with GGA-PBEsol.

Properties
Density (Mg/m³): 13.974
Volume (Å³ per cell): 64
ΔE_f (raw) (kcal/mol of atoms): 2.56
Offset from the most stable computed form (meV/atom): 135

abc: 3.8088 3.8088 5.1719
angles: 111.61 111.61 90.00
Fractional coordinates of all 4 atoms:
Ir: 0.0000 0.0000 0.0000
Ir: 0.7500 0.2500 0.5000
Al: 0.2500 0.7500 0.5000
Te: 0.5000 0.5000 0.0000

A relaxed ThAlIr crystal, computed with GGA-PBEsol.

Properties
DFT formation energy (eV/atom): -0.94
Density (Mg/m³): 12.399
Volume (Å³ per cell): 181

abc: 4.1474 7.1047 7.1047
angles: 120.00 90.00 90.00
Fractional coordinates of all 9 atoms:
Th: 0.5000 0.5805 0.5805
Th: 0.5000 0.4195 0.0000
Th: 0.5000 0.0000 0.4195
Ir: 0.0000 0.6667 0.3333
Ir: 0.0000 0.3333 0.6667
Ir: 0.5000 0.0000 0.0000
Al: 0.0000 0.0000 0.7701
Al: 0.0000 0.2299 0.2299
Al: 0.0000 0.7701 0.0000

A relaxed Al2TlIr crystal, computed with GGA-PBEsol.

Properties
DFT formation energy (eV/atom): 0.26
Density (Mg/m³): 10.982
Volume (Å³ per cell): 68

abc: 4.5843 4.5843 4.5843
angles: 60.00 60.00 60.00
Fractional coordinates of all 4 atoms:
Tl: 0.7500 0.7500 0.7500
Al: 0.2500 0.2500 0.2500
Al: 0.0000 0.0000 0.0000
Ir: 0.5000 0.5000 0.5000

A relaxed AlTlIr crystal, computed with GGA-PBEsol.

Properties
DFT formation energy (eV/atom): 0.06
Density (Mg/m³): 13.161
Volume (Å³ per cell): 53

abc: 3.0714 3.0714 6.5415
angles: 90.00 90.00 120.00
Fractional coordinates of all 3 atoms:
Ir: 0.3333 0.6667 0.6964
Al: 0.0000 0.0000 0.9601
Tl: 0.6667 0.3333 0.3435

A relaxed Al2TlIr crystal, computed with GGA-PBEsol.

Properties
DFT formation energy (eV/atom): -0.02
Density (Mg/m³): 10.529
Volume (Å³ per cell): 71

abc: 3.3862 3.3862 6.1971
angles: 90.00 90.00 90.00
Fractional coordinates of all 4 atoms:
Al: 0.5000 0.5000 0.2914
Al: 0.0000 0.0000 0.0327
Tl: 0.5000 0.5000 0.7518
Ir: 0.0000 0.0000 0.4241

A relaxed Al2TlIr crystal, computed with GGA-PBEsol.

Properties
DFT formation energy (eV/atom): 0.26
Density (Mg/m³): 10.920
Volume (Å³ per cell): 69

abc: 3.1320 4.4292 4.9388
angles: 90.00 90.00 90.00
Fractional coordinates of all 4 atoms:
Ir: 0.5000 0.5000 0.0000
Tl: 0.0000 0.5000 0.5000
Al: 0.0000 0.0000 0.0000
Al: 0.5000 0.0000 0.5000

A relaxed AlTlIr2 crystal, computed with GGA-PBEsol.

Properties
DFT formation energy (eV/atom): 0.18
Density (Mg/m³): 16.179
Volume (Å³ per cell): 63
Offset from the most stable computed form (meV/atom): 107

abc: 3.8643 3.8643 5.0378
angles: 112.55 112.55 90.00
Fractional coordinates of all 4 atoms:
Al: 0.2500 0.7500 0.5000
Ir: 0.7500 0.2500 0.5000
Ir: 0.0000 0.0000 0.0000
Tl: 0.5000 0.5000 0.0000

A relaxed AlTlIr2 crystal, computed with GGA-PBEsol.

Properties
DFT formation energy (eV/atom): 0.07
Density (Mg/m³): 15.705
Volume (Å³ per cell): 65
Offset from the most stable computed form (meV/atom): 0

abc: 2.8680 3.8838 5.8453
angles: 90.00 90.00 90.00
Fractional coordinates of all 4 atoms:
Ir: 0.0000 0.0000 0.9601
Ir: 0.5000 0.5000 0.2439
Al: 0.5000 0.5000 0.8180
Tl: 0.0000 0.0000 0.4781

A relaxed U2Al9Ir3 crystal, computed with GGA-PBEsol.

Properties
DFT formation energy (eV/atom): -0.55
Density (Mg/m³): 9.401
Volume (Å³ per cell): 458

abc: 7.5216 7.5216 9.2829
angles: 90.00 90.00 119.37
Each line ends with the local moment (μB).
Fractional coordinates of all 28 atoms:
Ir: 0.0000 0.0000 0.5000  -0.05
Ir: 0.6728 0.3272 0.5000  -0.05
Ir: 0.3272 0.6728 0.0000  -0.05
Ir: 0.0000 0.0000 0.0000  -0.05
Ir: 0.6728 0.3272 0.0000  -0.05
Ir: 0.3272 0.6728 0.5000  -0.05
Al: 0.6660 0.6660 0.0533  -0.01
Al: 0.6630 0.9979 0.5758  0.00
Al: 0.9979 0.6630 0.9242  0.00
Al: 0.0021 0.3370 0.0758  0.00
Al: 0.6579 0.4488 0.7500  -0.01
Al: 0.3370 0.0021 0.0758  0.00
Al: 0.1300 0.1300 0.2500  -0.01
Al: 0.6630 0.9979 0.9242  0.00
Al: 0.8700 0.8700 0.7500  -0.01
Al: 0.0021 0.3370 0.4242  0.00
Al: 0.5512 0.3421 0.2500  -0.01
Al: 0.3421 0.5512 0.2500  -0.01
Al: 0.3340 0.3340 0.9467  -0.01
Al: 0.9979 0.6630 0.5758  0.00
Al: 0.6660 0.6660 0.4467  -0.01
Al: 0.3370 0.0021 0.4242  0.00
Al: 0.4488 0.6579 0.7500  -0.01
Al: 0.3340 0.3340 0.5533  -0.01
U: 0.6738 0.9964 0.2500  2.04
U: 0.9964 0.6738 0.2500  2.04
U: 0.3262 0.0036 0.7500  2.04
U: 0.0036 0.3262 0.7500  2.04

A relaxed AlIr2W crystal, computed with GGA-PBEsol.

Properties
DFT formation energy (eV/atom): -0.62
Density (Mg/m³): 17.609
Volume (Å³ per cell): 56

abc: 2.8222 2.8222 7.0474
angles: 90.00 90.00 90.00
Fractional coordinates of all 4 atoms:
Ir: 0.0000 0.0000 0.7341
Ir: 0.0000 0.0000 0.2659
W: 0.5000 0.5000 0.0000
Al: 0.5000 0.5000 0.5000

A relaxed AlIr2W crystal, computed with GGA-PBEsol.

Properties
DFT formation energy (eV/atom): -0.07
Density (Mg/m³): 17.024
Volume (Å³ per cell): 58

abc: 2.8163 4.4669 4.6156
angles: 90.00 90.00 90.00
Fractional coordinates of all 4 atoms:
Al: 0.0000 0.5000 0.5000
Ir: 0.5000 0.0000 0.5000
Ir: 0.0000 0.0000 0.0000
W: 0.5000 0.5000 0.0000

A relaxed AlIrW crystal, computed with GGA-PBEsol.

Properties
DFT formation energy (eV/atom): -0.42
Density (Mg/m³): 15.582
Volume (Å³ per cell): 43

abc: 2.8434 2.8434 5.6804
angles: 104.49 104.49 90.00
Fractional coordinates of all 3 atoms:
W: 0.6677 0.6677 0.3354
Ir: 0.3391 0.3391 0.6783
Al: 0.9932 0.9932 0.9863